Entry 1:
Here is crystalline Ac2PuSi3Rh12 at its relaxed geometry from Alexandria via LeMat-Bulk. Energies are from GGA-PBE.

## Properties
- Formation energy without anion corrections: -0.2046 eV per atom
- Crystal system: trigonal

a = 8.1037 Å, b = 8.1037 Å, c = 18.4783 Å
α = 90.00°, β = 90.00°, γ = 120.00°
Space group R-3m (No. 166, hexagonal axes)
Inequivalent atoms, fractional coordinates:
1 Ac 0.0000 0.0000 0.1061 x6
2 Pu 0.0000 0.0000 0.5000 x3
3 Si 0.0000 0.5000 0.0000 x9
4 Rh 0.0108 0.5054 0.8728 x18
5 Rh 0.0324 0.5162 0.3682 x18



Entry 2:
Here is crystalline Ac2PuSn3Rh4 at its relaxed geometry from Alexandria via LeMat-Bulk. Energies are from GGA-PBE.

## Properties
- Formation energy: -0.71 eV/atom
- Crystal system: tetragonal

a = 4.593 Å, b = 4.593 Å, c = 11.144 Å
α = 90.00°, β = 90.00°, γ = 90.00°
Space group P-4m2 (No. 115)
Inequivalent atoms, fractional coordinates:
1 Ac 0.000 0.500 0.237 x2
2 Pu 0.000 0.000 0.500 x1
3 Sn 0.000 0.500 0.877 x2
4 Sn 0.500 0.500 0.500 x1
5 Rh 0.000 0.000 0.000 x1
6 Rh 0.000 0.500 0.638 x2
7 Rh 0.500 0.500 0.000 x1



Entry 3:
Here is crystalline Ac2PuURh6 at its relaxed geometry from Alexandria via LeMat-Bulk. Energies are from GGA-PBE.

## Properties
- Formation energy: -0.34 eV/atom
- Crystal system: monoclinic

a = 10.383 Å, b = 5.997 Å, c = 8.757 Å
α = 90.00°, β = 113.22°, γ = 90.00°
Space group C2/m (No. 12)
Inequivalent atoms, fractional coordinates:
1 Ac 0.219 0.000 0.159 x4
2 Pu 0.000 0.000 0.500 x2
3 U 0.000 0.500 0.000 x2
4 Rh 0.011 0.245 0.777 x8
5 Rh 0.244 0.500 0.223 x4



Entry 4:
Here is crystalline AcPuZnRh at its relaxed geometry from Alexandria via LeMat-Bulk. Energies are from GGA-PBE.

## Properties
- Formation energy: -0.23 eV/atom
- Crystal system: cubic

a = 7.308 Å, b = 7.308 Å, c = 7.308 Å
α = 90.00°, β = 90.00°, γ = 90.00°
Space group F-43m (No. 216)
Inequivalent atoms, fractional coordinates:
1 Ac 0.000 0.000 0.000 x4
2 Pu 0.000 0.000 0.500 x4
3 Zn 0.250 0.250 0.750 x4
4 Rh 0.250 0.250 0.250 x4